This record from the Alexandria database describes crystalline Co2GeBrO at its relaxed geometry. The functional is PBE+U.

Structure (POSCAR):
```
Co2GeBrO
1.0
-1.401 -3.012 1.927
1.471 -3.783 -4.842
3.462 -0.626 1.540
Co Br O Ge
2 1 1 1
direct
0.500 0.000 0.000
0.000 0.000 0.500
0.000 0.500 0.000
0.000 0.000 0.000
0.500 0.500 0.500
```

Summary:
Space-group type: P4/mmm, No. 123
Uncorrected energy, eV per atom: -4.10